[1]
A relaxed BaLaY3 crystal, computed with PBE.

a = 5.869 Å, b = 5.869 Å, c = 5.869 Å
α = 90.00°, β = 90.00°, γ = 90.00°
Atoms (fractional coordinates):
Ba 0.000 0.000 0.000
La 0.500 0.500 0.500
Y 0.000 0.500 0.500
Y 0.500 0.000 0.500
Y 0.500 0.500 0.000

E_form: 512 meV/atom



[2]
A relaxed Tl4FeCl7 crystal, computed with PBE.

a = 9.213 Å, b = 9.213 Å, c = 12.339 Å
α = 128.59°, β = 128.59°, γ = 30.12°
Atoms (fractional coordinates):
Tl 0.110 0.110 0.273
Tl 0.244 0.244 0.861
Tl 0.756 0.756 0.139
Tl 0.890 0.890 0.727
Fe 0.500 0.500 0.500
Cl 0.000 0.000 0.500
Cl 0.123 0.123 0.027
Cl 0.251 0.251 0.629
Cl 0.449 0.449 0.285
Cl 0.551 0.551 0.715
Cl 0.749 0.749 0.371
Cl 0.877 0.877 0.973

formation energy without anion corrections: -0.80 eV per atom



[3]
A relaxed NaMoP2Rh crystal, computed with PBE.

a = 4.558 Å, b = 4.558 Å, c = 4.819 Å
α = 90.00°, β = 90.00°, γ = 90.00°
Atoms (fractional coordinates):
Na 0.000 0.000 0.000
Mo 0.500 0.500 0.000
P 0.000 0.500 0.500
P 0.500 0.000 0.500
Rh 0.000 0.000 0.500

E_form: 850 meV/atom



Asked for total DFT energy (no corrections) across the records above, the calculation gives -4.736 -3.371 -5.214 eV/atom in order.